First-principles (PBE) data for crystalline SrZn5 at its relaxed geometry, as listed in OQMD via LeMat-Bulk.

Computed properties:
Space group: P6/mmm
E, eV/atom: -1.549

The structure in POSCAR format:
```
SrZn5
1.0
2.745 4.755 0.000
-2.745 4.755 0.000
0.000 0.000 4.255
Zn Sr
5 1
Cartesian
0.000 6.340 0.000 Zn
1.374 2.381 2.127 Zn
0.000 3.170 0.000 Zn
-1.371 2.374 2.127 Zn
-0.004 4.755 2.127 Zn
0.000 0.000 0.000 Sr
```